CoPtRh2: relaxed, PBE.

Results
Energy of formation from the pure elements = 0.017 eV/atom
Fermi-level density of states = 6.1 states/eV/cell
ρ = 13.722 g/cm3
Total moment = 2.56 μB/f.u.

a = 2.718 Å, b = 3.774 Å, c = 5.425 Å
α = 90.00°, β = 90.00°, γ = 90.00°
Space group Pmmm (No. 47)
Inequivalent atoms, fractional coordinates:
Co1 0.000 0.000 0.000 [1 per cell]
Pt1 0.000 0.000 0.500 [1 per cell]
Rh1 0.500 0.500 0.238 [2 per cell]